[1]
The following is a DFT calculation (GGA-PBE) of CaAsP2 after structural relaxation.

Calculated values
Magnetization, Bohr magnetons per cell: 0.00
DFT total energy, eV per atom: -4.517

```
data_CaAsP2
_chemical_formula_sum 'Ca1 As1 P2'
_space_group_name_H-M_alt 'P 1'
_space_group_IT_number 1
_cell_length_a 4.364
_cell_length_b 4.364
_cell_length_c 3.961
_cell_angle_alpha 90.00
_cell_angle_beta 90.00
_cell_angle_gamma 90.00
loop_
_space_group_symop_operation_xyz
'x,y,z'
loop_
_atom_site_label
_atom_site_type_symbol
_atom_site_fract_x
_atom_site_fract_y
_atom_site_fract_z
Ca1 Ca 0.000 0.000 0.000
As1 As 0.500 0.500 0.000
P1 P 0.000 0.500 0.500
P2 P 0.500 0.000 0.500
```

---

[2]
The following is a DFT calculation (GGA-PBE) of V6SiH3 after structural relaxation.

Calculated values
Magnetization, Bohr magnetons per cell: 0.00
DFT total energy, eV per atom: -7.192

```
data_V6SiH3
_chemical_formula_sum 'V12 Si2 H6'
_space_group_name_H-M_alt 'P 1'
_space_group_IT_number 1
_cell_length_a 8.592
_cell_length_b 2.986
_cell_length_c 8.862
_cell_angle_alpha 90.00
_cell_angle_beta 117.12
_cell_angle_gamma 90.00
loop_
_space_group_symop_operation_xyz
'x,y,z'
loop_
_atom_site_label
_atom_site_type_symbol
_atom_site_fract_x
_atom_site_fract_y
_atom_site_fract_z
V1 V 0.003 0.250 0.146
V2 V 0.112 0.750 0.656
V3 V 0.193 0.750 0.437
V4 V 0.340 0.250 0.983
V5 V 0.412 0.250 0.375
V6 V 0.423 0.250 0.740
V7 V 0.577 0.750 0.260
V8 V 0.588 0.750 0.625
V9 V 0.660 0.750 0.017
V10 V 0.807 0.250 0.563
V11 V 0.888 0.250 0.344
V12 V 0.997 0.750 0.854
Si1 Si 0.237 0.750 0.149
Si2 Si 0.763 0.250 0.851
H1 H 0.105 0.250 0.798
H2 H 0.319 0.250 0.515
H3 H 0.404 0.750 0.873
H4 H 0.596 0.250 0.127
H5 H 0.681 0.750 0.485
H6 H 0.895 0.750 0.202
```

---

[3]
The following is a DFT calculation (GGA-PBE) of Os3SCl after structural relaxation.

Calculated values
Uncorrected formation energy, eV/atom: 1.747
Magnetization, Bohr magnetons per cell: 2.74
Relative energy among the computed polymorphs, eV per atom: 0.000
DFT total energy, eV per atom: -6.186

```
data_Os3SCl
_chemical_formula_sum 'Os3 S1 Cl1'
_space_group_name_H-M_alt 'P 1'
_space_group_IT_number 1
_cell_length_a 4.434
_cell_length_b 4.434
_cell_length_c 4.434
_cell_angle_alpha 90.00
_cell_angle_beta 90.00
_cell_angle_gamma 90.00
loop_
_space_group_symop_operation_xyz
'x,y,z'
loop_
_atom_site_label
_atom_site_type_symbol
_atom_site_fract_x
_atom_site_fract_y
_atom_site_fract_z
Os1 Os 0.000 0.000 0.500
Os2 Os 0.000 0.500 0.000
Os3 Os 0.500 0.000 0.000
S1 S 0.000 0.000 0.000
Cl1 Cl 0.500 0.500 0.500
```

---

[4]
The following is a DFT calculation (GGA-PBE) of CaThGe after structural relaxation.

Calculated values
Magnetization, Bohr magnetons per cell: 0.00
DFT total energy, eV per atom: -4.951

```
data_CaThGe
_chemical_formula_sum 'Ca4 Th4 Ge4'
_space_group_name_H-M_alt 'P 1'
_space_group_IT_number 1
_cell_length_a 13.476
_cell_length_b 5.117
_cell_length_c 5.109
_cell_angle_alpha 90.00
_cell_angle_beta 90.00
_cell_angle_gamma 90.00
loop_
_space_group_symop_operation_xyz
'x,y,z'
loop_
_atom_site_label
_atom_site_type_symbol
_atom_site_fract_x
_atom_site_fract_y
_atom_site_fract_z
Ca1 Ca 0.137 0.000 0.000
Ca2 Ca 0.137 0.500 0.500
Ca3 Ca 0.863 0.000 0.000
Ca4 Ca 0.863 0.500 0.500
Th1 Th 0.371 0.000 0.502
Th2 Th 0.371 0.500 0.002
Th3 Th 0.629 0.000 0.502
Th4 Th 0.629 0.500 0.002
Ge1 Ge 0.000 0.000 0.500
Ge2 Ge 0.000 0.500 0.000
Ge3 Ge 0.500 0.000 0.002
Ge4 Ge 0.500 0.500 0.502
```

---

[5]
The following is a DFT calculation (GGA-PBE) of LiCeErAg after structural relaxation.

Calculated values
Magnetization, Bohr magnetons per cell: 4.58
DFT total energy, eV per atom: -3.781

```
data_LiCeErAg
_chemical_formula_sum 'Li4 Ce4 Er4 Ag4'
_space_group_name_H-M_alt 'P 1'
_space_group_IT_number 1
_cell_length_a 7.362
_cell_length_b 7.362
_cell_length_c 7.362
_cell_angle_alpha 90.00
_cell_angle_beta 90.00
_cell_angle_gamma 90.00
loop_
_space_group_symop_operation_xyz
'x,y,z'
loop_
_atom_site_label
_atom_site_type_symbol
_atom_site_fract_x
_atom_site_fract_y
_atom_site_fract_z
Li1 Li 0.000 0.000 0.000
Li2 Li 0.000 0.500 0.500
Li3 Li 0.500 0.000 0.500
Li4 Li 0.500 0.500 0.000
Ce1 Ce 0.250 0.250 0.750
Ce2 Ce 0.250 0.750 0.250
Ce3 Ce 0.750 0.250 0.250
Ce4 Ce 0.750 0.750 0.750
Er1 Er 0.250 0.250 0.250
Er2 Er 0.250 0.750 0.750
Er3 Er 0.750 0.250 0.750
Er4 Er 0.750 0.750 0.250
Ag1 Ag 0.000 0.000 0.500
Ag2 Ag 0.000 0.500 0.000
Ag3 Ag 0.500 0.000 0.000
Ag4 Ag 0.500 0.500 0.500
```

---

[6]
The following is a DFT calculation (GGA-PBE) of Li2Ac2Ge3 after structural relaxation.

Calculated values
Magnetization, Bohr magnetons per cell: 0.00
Relative energy among the computed polymorphs, eV per atom: 0.184
DFT total energy, eV per atom: -4.177

```
data_Li2Ac2Ge3
_chemical_formula_sum 'Li4 Ac4 Ge6'
_space_group_name_H-M_alt 'P 1'
_space_group_IT_number 1
_cell_length_a 10.977
_cell_length_b 4.554
_cell_length_c 7.135
_cell_angle_alpha 90.00
_cell_angle_beta 110.64
_cell_angle_gamma 90.00
loop_
_space_group_symop_operation_xyz
'x,y,z'
loop_
_atom_site_label
_atom_site_type_symbol
_atom_site_fract_x
_atom_site_fract_y
_atom_site_fract_z
Li1 Li 0.157 0.000 0.299
Li2 Li 0.343 0.500 0.701
Li3 Li 0.657 0.500 0.299
Li4 Li 0.843 0.000 0.701
Ac1 Ac 0.145 0.000 0.777
Ac2 Ac 0.355 0.500 0.223
Ac3 Ac 0.645 0.500 0.777
Ac4 Ac 0.855 0.000 0.223
Ge1 Ge 0.000 0.500 0.000
Ge2 Ge 0.094 0.500 0.436
Ge3 Ge 0.406 0.000 0.564
Ge4 Ge 0.500 0.000 0.000
Ge5 Ge 0.594 0.000 0.436
Ge6 Ge 0.906 0.500 0.564
```

---

[7]
The following is a DFT calculation (GGA-PBE) of CdRu2W after structural relaxation.

Calculated values
Magnetization, Bohr magnetons per cell: 0.00
DFT total energy, eV per atom: -7.816

```
data_CdRu2W
_chemical_formula_sum 'Cd2 Ru4 W2'
_space_group_name_H-M_alt 'P 1'
_space_group_IT_number 1
_cell_length_a 3.083
_cell_length_b 4.668
_cell_length_c 9.032
_cell_angle_alpha 90.00
_cell_angle_beta 90.00
_cell_angle_gamma 90.00
loop_
_space_group_symop_operation_xyz
'x,y,z'
loop_
_atom_site_label
_atom_site_type_symbol
_atom_site_fract_x
_atom_site_fract_y
_atom_site_fract_z
Cd1 Cd 0.000 0.000 0.000
Cd2 Cd 0.500 0.500 0.000
Ru1 Ru 0.000 0.500 0.271
Ru2 Ru 0.000 0.500 0.729
Ru3 Ru 0.500 0.000 0.271
Ru4 Ru 0.500 0.000 0.729
W1 W 0.000 0.000 0.500
W2 W 0.500 0.500 0.500
```

---

[8]
The following is a DFT calculation (GGA-PBE) of TbMg9Au2 after structural relaxation.

Calculated values
Magnetization, Bohr magnetons per cell: 0.00
DFT total energy, eV per atom: -2.390

```
data_TbMg9Au2
_chemical_formula_sum 'Tb2 Mg18 Au4'
_space_group_name_H-M_alt 'P 1'
_space_group_IT_number 1
_cell_length_a 9.179
_cell_length_b 9.179
_cell_length_c 9.179
_cell_angle_alpha 99.62
_cell_angle_beta 99.62
_cell_angle_gamma 131.75
loop_
_space_group_symop_operation_xyz
'x,y,z'
loop_
_atom_site_label
_atom_site_type_symbol
_atom_site_fract_x
_atom_site_fract_y
_atom_site_fract_z
Tb1 Tb 0.375 0.625 0.750
Tb2 Tb 0.625 0.375 0.250
Mg1 Mg 0.125 0.875 0.250
Mg2 Mg 0.130 0.561 0.326
Mg3 Mg 0.130 0.804 0.570
Mg4 Mg 0.196 0.266 0.326
Mg5 Mg 0.196 0.870 0.930
Mg6 Mg 0.266 0.196 0.826
Mg7 Mg 0.266 0.439 0.070
Mg8 Mg 0.439 0.266 0.570
Mg9 Mg 0.439 0.870 0.174
Mg10 Mg 0.561 0.130 0.826
Mg11 Mg 0.561 0.734 0.430
Mg12 Mg 0.734 0.561 0.930
Mg13 Mg 0.734 0.804 0.174
Mg14 Mg 0.804 0.130 0.070
Mg15 Mg 0.804 0.734 0.674
Mg16 Mg 0.870 0.196 0.430
Mg17 Mg 0.870 0.439 0.674
Mg18 Mg 0.875 0.125 0.750
Au1 Au 0.000 0.000 0.000
Au2 Au 0.000 0.000 0.500
Au3 Au 0.000 0.500 0.000
Au4 Au 0.500 0.000 0.500
```

---

[9]
The following is a DFT calculation (GGA-PBE) of La3ZrSn after structural relaxation.

Calculated values
Magnetization, Bohr magnetons per cell: 0.00
Relative energy among the computed polymorphs, eV per atom: 0.000
DFT total energy, eV per atom: -5.213

```
data_La3ZrSn
_chemical_formula_sum 'La3 Zr1 Sn1'
_space_group_name_H-M_alt 'P 1'
_space_group_IT_number 1
_cell_length_a 5.589
_cell_length_b 5.589
_cell_length_c 5.589
_cell_angle_alpha 90.00
_cell_angle_beta 90.00
_cell_angle_gamma 90.00
loop_
_space_group_symop_operation_xyz
'x,y,z'
loop_
_atom_site_label
_atom_site_type_symbol
_atom_site_fract_x
_atom_site_fract_y
_atom_site_fract_z
La1 La 0.000 0.000 0.500
La2 La 0.000 0.500 0.000
La3 La 0.500 0.000 0.000
Zr1 Zr 0.000 0.000 0.000
Sn1 Sn 0.500 0.500 0.500
```